Entry 1:
Entry from Alexandria via LeMat-Bulk: crystalline NaCd3B at its relaxed geometry (PBE).

The value obtained for the formation energy is 693 kJ/mol of formula units. The energy above the lowest structure with this stoichiometry comes out at 1052 meV/atom. The energy is -0.71 eV/atom.

abc: 5.4173 5.4173 5.4173
angles: 90.00 90.00 90.00
With the nearest neighbours (Å) after each atom.
Space group Pm-3m (No. 221)
Unique sites:
Na (0.0000, 0.0000, 0.0000) [1 per cell]  6 Cd 2.71
Cd (0.0000, 0.0000, 0.5000) [3 per cell]  2 Na 2.71
B (0.5000, 0.5000, 0.5000) [1 per cell]  12 Cd 3.83

***

Entry 2:
Entry from Alexandria via LeMat-Bulk: crystalline CuHg2As2 at its relaxed geometry (PBE).

The value obtained for the formation energy is 212 kJ/mol of formula units. The energy above the lowest structure with this stoichiometry comes out at 356 meV/atom. The energy is -2.36 eV/atom.

abc: 7.1920 7.1920 4.3385
angles: 90.00 90.00 90.00
With the nearest neighbours (Å) after each atom.
Space group P4/mbm (No. 127)
Unique sites:
Cu (0.0000, 0.0000, 0.0000) [2 per cell]  4 Hg 2.65
Hg (0.1773, 0.3227, 0.0000) [4 per cell]  2 Cu 2.65
As (0.1215, 0.6215, 0.5000) [4 per cell]  1 As 2.47